# 1
The following is a PBE calculation of an optimized crystal structure of Rb2Pm2SnO6, from the Alexandria database. Values from VASP.

Computed properties:
M_tot: 0.0000 μB per atom
total energy: -70.9 eV/f.u.
DOS(E_F): 0.000 states/eV/atom

```
&SYSTEM
  ibrav = 0, nat = 11, ntyp = 4
/
ATOMIC_SPECIES
Rb 85.47 Rb.upf
Pm 145.00 Pm.upf
Sn 118.71 Sn.upf
O 16.00 O.upf
ATOMIC_POSITIONS crystal
Rb 0.164 0.836 0.000
Rb 0.836 0.164 0.000
Pm 0.335 0.665 0.500
Pm 0.665 0.335 0.500
Sn 0.000 0.000 0.500
O 0.047 0.358 0.666
O 0.245 0.245 0.333
O 0.358 0.047 0.666
O 0.642 0.953 0.334
O 0.755 0.755 0.667
O 0.953 0.642 0.334
CELL_PARAMETERS angstrom
3.039 -5.218 0.000
3.039 5.218 0.000
-1.872 0.000 6.719
```

---

# 2
The following is a PBE calculation of an optimized crystal structure of Rb4Pm3SnO8, from the Alexandria database. Values from VASP.

Computed properties:
M_tot: 0.0000 μB per atom
total energy: -97.7 eV/f.u.
DOS(E_F): 0.105 states/eV/atom

```
&SYSTEM
  ibrav = 0, nat = 16, ntyp = 4
/
ATOMIC_SPECIES
Rb 85.47 Rb.upf
Pm 145.00 Pm.upf
Sn 118.71 Sn.upf
O 16.00 O.upf
ATOMIC_POSITIONS crystal
Rb 0.000 0.000 0.000
Rb 0.000 0.500 0.500
Rb 0.500 0.000 0.500
Rb 0.500 0.500 0.000
Pm 0.000 0.000 0.500
Pm 0.000 0.500 0.000
Pm 0.500 0.000 0.000
Sn 0.500 0.500 0.500
O 0.226 0.226 0.226
O 0.231 0.724 0.724
O 0.276 0.276 0.769
O 0.276 0.769 0.276
O 0.724 0.231 0.724
O 0.724 0.724 0.231
O 0.769 0.276 0.276
O 0.774 0.774 0.774
CELL_PARAMETERS angstrom
3.608 2.083 6.598
-3.608 2.083 6.598
0.000 -4.166 6.598
```

---

# 3
The following is a PBE calculation of an optimized crystal structure of RbPmSnO3, from the Alexandria database. Values from VASP.

Computed properties:
M_tot: 0.0000 μB per atom
total energy: -37.6 eV/f.u.
DOS(E_F): 0.000 states/eV/atom

```
&SYSTEM
  ibrav = 0, nat = 12, ntyp = 4
/
ATOMIC_SPECIES
Rb 85.47 Rb.upf
Pm 145.00 Pm.upf
Sn 118.71 Sn.upf
O 16.00 O.upf
ATOMIC_POSITIONS crystal
Rb 0.085 0.250 0.286
Rb 0.915 0.750 0.714
Pm 0.417 0.750 0.637
Pm 0.583 0.250 0.363
Sn 0.300 0.250 0.932
Sn 0.700 0.750 0.068
O 0.233 0.250 0.698
O 0.383 0.750 0.394
O 0.454 0.750 0.895
O 0.546 0.250 0.105
O 0.617 0.250 0.606
O 0.767 0.750 0.302
CELL_PARAMETERS angstrom
7.532 0.000 0.000
0.000 3.600 0.000
-1.263 0.000 9.527
```

---

# 4
The following is a PBE calculation of an optimized crystal structure of Rb4PmTa3O12, from the Alexandria database. Values from VASP.

Computed properties:
M_tot: 0.1053 μB per atom
total energy: -151.4 eV/f.u.
DOS(E_F): 0.585 states/eV/atom

```
&SYSTEM
  ibrav = 0, nat = 20, ntyp = 4
/
ATOMIC_SPECIES
Rb 85.47 Rb.upf
Pm 145.00 Pm.upf
Ta 180.95 Ta.upf
O 16.00 O.upf
ATOMIC_POSITIONS crystal
Rb 0.000 0.000 0.500
Rb 0.000 0.500 0.000
Rb 0.500 0.000 0.000
Rb 0.500 0.500 0.500
Pm 0.000 0.000 0.000
Ta 0.000 0.500 0.500
Ta 0.500 0.000 0.500
Ta 0.500 0.500 0.000
O 0.000 0.273 0.273
O 0.000 0.727 0.727
O 0.250 0.500 0.750
O 0.250 0.750 0.500
O 0.273 0.000 0.273
O 0.273 0.273 0.000
O 0.500 0.250 0.750
O 0.500 0.750 0.250
O 0.727 0.000 0.727
O 0.727 0.727 0.000
O 0.750 0.250 0.500
O 0.750 0.500 0.250
CELL_PARAMETERS angstrom
-4.225 4.225 4.225
4.225 -4.225 4.225
4.225 4.225 -4.225
```

---

# 5
The following is a PBE calculation of an optimized crystal structure of Rb3Pm3TaO8, from the Alexandria database. Values from VASP.

Computed properties:
M_tot: 0.0000 μB per atom
total energy: -107.8 eV/f.u.
DOS(E_F): 0.149 states/eV/atom

```
&SYSTEM
  ibrav = 0, nat = 15, ntyp = 4
/
ATOMIC_SPECIES
Rb 85.47 Rb.upf
Pm 145.00 Pm.upf
Ta 180.95 Ta.upf
O 16.00 O.upf
ATOMIC_POSITIONS crystal
Rb 0.000 0.500 0.500
Rb 0.500 0.000 0.500
Rb 0.500 0.500 0.000
Pm 0.000 0.000 0.500
Pm 0.000 0.500 0.000
Pm 0.500 0.000 0.000
Ta 0.500 0.500 0.500
O 0.228 0.228 0.228
O 0.267 0.697 0.697
O 0.303 0.303 0.733
O 0.303 0.733 0.303
O 0.697 0.267 0.697
O 0.697 0.697 0.267
O 0.733 0.303 0.303
O 0.772 0.772 0.772
CELL_PARAMETERS angstrom
3.507 2.025 6.735
-3.507 2.025 6.735
0.000 -4.049 6.735
```

---

# 6
The following is a PBE calculation of an optimized crystal structure of Rb2TbPmO4, from the Alexandria database. Values from VASP.

Computed properties:
M_tot: 0.0000 μB per atom
total energy: -52.2 eV/f.u.
DOS(E_F): 0.000 states/eV/atom

```
&SYSTEM
  ibrav = 0, nat = 8, ntyp = 4
/
ATOMIC_SPECIES
Rb 85.47 Rb.upf
Tb 158.93 Tb.upf
Pm 145.00 Pm.upf
O 16.00 O.upf
ATOMIC_POSITIONS crystal
Rb 0.000 0.000 0.000
Rb 0.500 0.500 0.000
Tb 0.000 0.500 0.500
Pm 0.500 0.000 0.500
O 0.220 0.000 0.677
O 0.268 0.500 0.322
O 0.732 0.500 0.678
O 0.780 0.000 0.323
CELL_PARAMETERS angstrom
6.210 0.000 0.000
0.000 3.586 0.000
-2.065 0.000 6.587
```

---

# 7
The following is a PBE calculation of an optimized crystal structure of Rb2PmTcO6, from the Alexandria database. Values from VASP.

Computed properties:
M_tot: 0.0000 μB per atom
total energy: -65.2 eV/f.u.

```
&SYSTEM
  ibrav = 0, nat = 10, ntyp = 4
/
ATOMIC_SPECIES
Rb 85.47 Rb.upf
Pm 145.00 Pm.upf
Tc 98.00 Tc.upf
O 16.00 O.upf
ATOMIC_POSITIONS crystal
Rb 0.333 0.667 0.393
Rb 0.667 0.333 0.607
Pm 0.000 0.000 0.000
Tc 0.000 0.000 0.500
O 0.135 0.271 0.697
O 0.135 0.865 0.697
O 0.271 0.135 0.303
O 0.729 0.865 0.697
O 0.865 0.135 0.303
O 0.865 0.729 0.303
CELL_PARAMETERS angstrom
6.477 0.000 0.000
-3.238 5.609 0.000
0.000 0.000 5.937
```

---

# 8
The following is a PBE calculation of an optimized crystal structure of RbPmTc2O8, from the Alexandria database. Values from VASP.

Computed properties:
M_tot: 0.1697 μB per atom
total energy: -89.0 eV/f.u.
DOS(E_F): 0.600 states/eV/atom

```
&SYSTEM
  ibrav = 0, nat = 12, ntyp = 4
/
ATOMIC_SPECIES
Rb 85.47 Rb.upf
Pm 145.00 Pm.upf
Tc 98.00 Tc.upf
O 16.00 O.upf
ATOMIC_POSITIONS crystal
Rb 0.000 0.000 0.000
Pm 0.000 0.000 0.500
Tc 0.333 0.667 0.756
Tc 0.667 0.333 0.244
O 0.171 0.346 0.680
O 0.174 0.829 0.680
O 0.333 0.667 0.972
O 0.346 0.174 0.320
O 0.654 0.826 0.680
O 0.667 0.333 0.028
O 0.826 0.171 0.320
O 0.829 0.654 0.320
CELL_PARAMETERS angstrom
6.085 0.000 0.000
-3.043 5.270 0.000
0.000 0.000 8.074
```

---

# 9
The following is a PBE calculation of an optimized crystal structure of RbPm3Te4O12, from the Alexandria database. Values from VASP.

Computed properties:
M_tot: 0.0464 μB per atom
total energy: -121.3 eV/f.u.
DOS(E_F): 0.223 states/eV/atom

```
&SYSTEM
  ibrav = 0, nat = 20, ntyp = 4
/
ATOMIC_SPECIES
Rb 85.47 Rb.upf
Pm 145.00 Pm.upf
Te 127.60 Te.upf
O 16.00 O.upf
ATOMIC_POSITIONS crystal
Rb 0.000 0.000 0.000
Pm 0.000 0.558 0.442
Pm 0.442 0.000 0.558
Pm 0.558 0.442 0.000
Te 0.054 0.500 0.946
Te 0.500 0.500 0.500
Te 0.500 0.946 0.054
Te 0.946 0.054 0.500
O 0.076 0.637 0.781
O 0.112 0.888 0.500
O 0.219 0.363 0.924
O 0.340 0.660 0.500
O 0.363 0.924 0.219
O 0.500 0.112 0.888
O 0.500 0.340 0.660
O 0.637 0.781 0.076
O 0.660 0.500 0.340
O 0.781 0.076 0.637
O 0.888 0.500 0.112
O 0.924 0.219 0.363
CELL_PARAMETERS angstrom
6.436 3.716 2.789
-6.436 3.716 2.789
0.000 -7.432 2.789
```

---

# 10
The following is a PBE calculation of an optimized crystal structure of RbPmTe2O8, from the Alexandria database. Values from VASP.

Computed properties:
M_tot: 0.0000 μB per atom
total energy: -70.4 eV/f.u.
DOS(E_F): 0.000 states/eV/atom

```
&SYSTEM
  ibrav = 0, nat = 12, ntyp = 4
/
ATOMIC_SPECIES
Rb 85.47 Rb.upf
Pm 145.00 Pm.upf
Te 127.60 Te.upf
O 16.00 O.upf
ATOMIC_POSITIONS crystal
Rb 0.000 0.000 0.000
Pm 0.000 0.000 0.500
Te 0.333 0.667 0.760
Te 0.667 0.333 0.240
O 0.163 0.341 0.679
O 0.178 0.837 0.679
O 0.333 0.667 0.982
O 0.341 0.178 0.321
O 0.659 0.822 0.679
O 0.667 0.333 0.018
O 0.822 0.163 0.321
O 0.837 0.659 0.321
CELL_PARAMETERS angstrom
6.107 0.000 0.000
-3.053 5.289 0.000
0.000 0.000 8.166
```

---

# 11
The following is a PBE calculation of an optimized crystal structure of Rb3PmTe2O9, from the Alexandria database. Values from VASP.

Computed properties:
M_tot: 0.0000 μB per atom
total energy: -82.7 eV/f.u.
DOS(E_F): 0.383 states/eV/atom

```
&SYSTEM
  ibrav = 0, nat = 15, ntyp = 4
/
ATOMIC_SPECIES
Rb 85.47 Rb.upf
Pm 145.00 Pm.upf
Te 127.60 Te.upf
O 16.00 O.upf
ATOMIC_POSITIONS crystal
Rb 0.000 0.000 0.000
Rb 0.333 0.667 0.669
Rb 0.667 0.333 0.331
Pm 0.000 0.000 0.500
Te 0.333 0.667 0.165
Te 0.667 0.333 0.835
O 0.000 0.500 0.000
O 0.180 0.359 0.309
O 0.180 0.820 0.309
O 0.359 0.180 0.691
O 0.500 0.000 0.000
O 0.500 0.500 0.000
O 0.641 0.820 0.309
O 0.820 0.180 0.691
O 0.820 0.641 0.691
CELL_PARAMETERS angstrom
5.969 0.000 0.000
-2.985 5.170 0.000
0.000 0.000 7.358
```

---

# 12
The following is a PBE calculation of an optimized crystal structure of RbPmTeO4, from the Alexandria database. Values from VASP.

Computed properties:
M_tot: 0.0000 μB per atom
total energy: -42.8 eV/f.u.
DOS(E_F): 0.000 states/eV/atom

```
&SYSTEM
  ibrav = 0, nat = 14, ntyp = 4
/
ATOMIC_SPECIES
Rb 85.47 Rb.upf
Pm 145.00 Pm.upf
Te 127.60 Te.upf
O 16.00 O.upf
ATOMIC_POSITIONS crystal
Rb 0.088 0.250 0.143
Rb 0.912 0.750 0.857
Pm 0.175 0.750 0.465
Pm 0.825 0.250 0.535
Te 0.406 0.250 0.743
Te 0.594 0.750 0.257
O 0.164 0.012 0.671
O 0.164 0.488 0.671
O 0.236 0.750 0.198
O 0.416 0.250 0.509
O 0.584 0.750 0.491
O 0.764 0.250 0.802
O 0.836 0.512 0.329
O 0.836 0.988 0.329
CELL_PARAMETERS angstrom
5.973 0.000 0.000
0.000 6.171 0.000
-2.482 0.000 7.811
```

---

# 13
The following is a PBE calculation of an optimized crystal structure of RbPmTe2O6, from the Alexandria database. Values from VASP.

Computed properties:
M_tot: 0.0000 μB per atom
total energy: -59.6 eV/f.u.
DOS(E_F): 0.000 states/eV/atom

```
&SYSTEM
  ibrav = 0, nat = 20, ntyp = 4
/
ATOMIC_SPECIES
Rb 85.47 Rb.upf
Pm 145.00 Pm.upf
Te 127.60 Te.upf
O 16.00 O.upf
ATOMIC_POSITIONS crystal
Rb 0.150 0.850 0.750
Rb 0.850 0.150 0.250
Pm 0.466 0.534 0.750
Pm 0.534 0.466 0.250
Te 0.062 0.392 0.830
Te 0.392 0.062 0.330
Te 0.608 0.938 0.670
Te 0.938 0.608 0.170
O 0.007 0.611 0.904
O 0.145 0.436 0.639
O 0.325 0.480 0.992
O 0.389 0.993 0.596
O 0.436 0.145 0.139
O 0.480 0.325 0.492
O 0.520 0.675 0.508
O 0.564 0.855 0.861
O 0.611 0.007 0.404
O 0.675 0.520 0.008
O 0.855 0.564 0.361
O 0.993 0.389 0.096
CELL_PARAMETERS angstrom
4.900 -6.391 0.000
4.900 6.391 0.000
-4.009 0.000 7.041
```

---

# 14
The following is a PBE calculation of an optimized crystal structure of Rb2PmTi2O7, from the Alexandria database. Values from VASP.

Computed properties:
M_tot: 0.0665 μB per atom
total energy: -88.7 eV/f.u.
DOS(E_F): 0.531 states/eV/atom

```
&SYSTEM
  ibrav = 0, nat = 12, ntyp = 4
/
ATOMIC_SPECIES
Rb 85.47 Rb.upf
Pm 145.00 Pm.upf
Ti 47.87 Ti.upf
O 16.00 O.upf
ATOMIC_POSITIONS crystal
Rb 0.190 0.190 0.000
Rb 0.810 0.810 0.000
Pm 0.000 0.000 0.000
Ti 0.408 0.408 0.000
Ti 0.592 0.592 0.000
O 0.076 0.576 0.500
O 0.329 0.329 0.000
O 0.424 0.924 0.500
O 0.500 0.500 0.000
O 0.576 0.076 0.500
O 0.671 0.671 0.000
O 0.924 0.424 0.500
CELL_PARAMETERS angstrom
-1.967 1.967 11.319
1.967 -1.967 11.319
1.967 1.967 -11.319
```

---

# 15
The following is a PBE calculation of an optimized crystal structure of RbPmTiO4, from the Alexandria database. Values from VASP.

Computed properties:
M_tot: 0.0000 μB per atom
total energy: -53.7 eV/f.u.
DOS(E_F): 0.000 states/eV/atom

```
&SYSTEM
  ibrav = 0, nat = 14, ntyp = 4
/
ATOMIC_SPECIES
Rb 85.47 Rb.upf
Pm 145.00 Pm.upf
Ti 47.87 Ti.upf
O 16.00 O.upf
ATOMIC_POSITIONS crystal
Rb 0.190 0.250 0.427
Rb 0.810 0.750 0.573
Pm 0.305 0.250 0.954
Pm 0.695 0.750 0.046
Ti 0.233 0.750 0.158
Ti 0.767 0.250 0.842
O 0.028 0.750 0.939
O 0.035 0.750 0.296
O 0.441 0.523 0.169
O 0.441 0.977 0.169
O 0.559 0.023 0.831
O 0.559 0.477 0.831
O 0.965 0.250 0.704
O 0.972 0.250 0.061
CELL_PARAMETERS angstrom
6.072 0.000 0.000
0.000 6.121 0.000
-2.327 0.000 7.417
```

---

# 16
The following is a PBE calculation of an optimized crystal structure of Rb3Pm3TiO8, from the Alexandria database. Values from VASP.

Computed properties:
M_tot: 0.0000 μB per atom
total energy: -104.8 eV/f.u.
DOS(E_F): 0.000 states/eV/atom

```
&SYSTEM
  ibrav = 0, nat = 15, ntyp = 4
/
ATOMIC_SPECIES
Rb 85.47 Rb.upf
Pm 145.00 Pm.upf
Ti 47.87 Ti.upf
O 16.00 O.upf
ATOMIC_POSITIONS crystal
Rb 0.000 0.500 0.500
Rb 0.500 0.000 0.500
Rb 0.500 0.500 0.000
Pm 0.000 0.000 0.500
Pm 0.000 0.500 0.000
Pm 0.500 0.000 0.000
Ti 0.500 0.500 0.500
O 0.226 0.226 0.226
O 0.263 0.700 0.700
O 0.300 0.300 0.737
O 0.300 0.737 0.300
O 0.700 0.263 0.700
O 0.700 0.700 0.263
O 0.737 0.300 0.300
O 0.774 0.774 0.774
CELL_PARAMETERS angstrom
3.482 2.011 6.628
-3.482 2.011 6.628
0.000 -4.021 6.628
```

---

# 17
The following is a PBE calculation of an optimized crystal structure of RbPm2TlO5, from the Alexandria database. Values from VASP.

Computed properties:
M_tot: 0.0000 μB per atom
total energy: -57.5 eV/f.u.

```
&SYSTEM
  ibrav = 0, nat = 18, ntyp = 4
/
ATOMIC_SPECIES
Rb 85.47 Rb.upf
Pm 145.00 Pm.upf
Tl 204.38 Tl.upf
O 16.00 O.upf
ATOMIC_POSITIONS crystal
Rb 0.250 0.250 0.000
Rb 0.750 0.750 0.000
Pm 0.178 0.678 0.856
Pm 0.322 0.178 0.500
Pm 0.678 0.822 0.500
Pm 0.822 0.322 0.144
Tl 0.250 0.750 0.500
Tl 0.750 0.250 0.500
O 0.000 0.000 0.000
O 0.023 0.242 0.500
O 0.242 0.742 0.218
O 0.258 0.477 0.500
O 0.477 0.977 0.218
O 0.500 0.500 0.000
O 0.523 0.023 0.782
O 0.742 0.523 0.500
O 0.758 0.258 0.782
O 0.977 0.758 0.500
CELL_PARAMETERS angstrom
-3.435 3.435 6.277
3.435 -3.435 6.277
3.435 3.435 -6.277
```

---

# 18
The following is a PBE calculation of an optimized crystal structure of Rb4Pm3TlO8, from the Alexandria database. Values from VASP.

Computed properties:
M_tot: 0.0000 μB per atom
total energy: -94.8 eV/f.u.

```
&SYSTEM
  ibrav = 0, nat = 16, ntyp = 4
/
ATOMIC_SPECIES
Rb 85.47 Rb.upf
Pm 145.00 Pm.upf
Tl 204.38 Tl.upf
O 16.00 O.upf
ATOMIC_POSITIONS crystal
Rb 0.000 0.000 0.000
Rb 0.000 0.500 0.500
Rb 0.500 0.000 0.500
Rb 0.500 0.500 0.000
Pm 0.000 0.000 0.500
Pm 0.000 0.500 0.000
Pm 0.500 0.000 0.000
Tl 0.500 0.500 0.500
O 0.226 0.226 0.226
O 0.226 0.730 0.730
O 0.270 0.270 0.774
O 0.270 0.774 0.270
O 0.730 0.226 0.730
O 0.730 0.730 0.226
O 0.774 0.270 0.270
O 0.774 0.774 0.774
CELL_PARAMETERS angstrom
3.610 2.085 6.604
-3.610 2.085 6.604
0.000 -4.169 6.604
```

---

# 19
The following is a PBE calculation of an optimized crystal structure of RbPmTlO3, from the Alexandria database. Values from VASP.

Computed properties:
M_tot: 0.0000 μB per atom
total energy: -34.2 eV/f.u.
DOS(E_F): 0.127 states/eV/atom

```
&SYSTEM
  ibrav = 0, nat = 12, ntyp = 4
/
ATOMIC_SPECIES
Rb 85.47 Rb.upf
Pm 145.00 Pm.upf
Tl 204.38 Tl.upf
O 16.00 O.upf
ATOMIC_POSITIONS crystal
Rb 0.237 0.250 0.234
Rb 0.763 0.750 0.766
Pm 0.336 0.750 0.874
Pm 0.664 0.250 0.126
Tl 0.153 0.250 0.600
Tl 0.847 0.750 0.400
O 0.106 0.250 0.794
O 0.348 0.750 0.652
O 0.437 0.750 0.090
O 0.563 0.250 0.910
O 0.652 0.250 0.348
O 0.894 0.750 0.206
CELL_PARAMETERS angstrom
7.115 0.000 0.000
0.000 3.607 0.000
-3.383 0.000 10.631
```